1.
# La4Y2Ho | Alexandria via LeMat-Bulk | GGA-PBE | optimized geometry
data_La4Y2Ho
_cell_length_a 12.1341
_cell_length_b 24.7172
_cell_length_c 6.5567
_cell_angle_alpha 90.00
_cell_angle_beta 90.00
_cell_angle_gamma 90.00
_symmetry_space_group_name_H-M 'F d d 2'
_symmetry_Int_Tables_number 43
_symmetry_space_group_name_Hall 'F 2 -2d'
loop_
_atom_site_label
_atom_site_type_symbol
_atom_site_fract_x
_atom_site_fract_y
_atom_site_fract_z
La1 La 0.0469 0.4286 0.0000
La2 La 0.0705 0.3566 0.4682
Y1 Y 0.0218 0.2828 0.9497
Ho1 Ho 0.0000 0.0000 0.0012
# - VASP energy (eV per atom) = -5.248
# - ΔE to the lowest computed polymorph (eV per formula unit) = 0.000
# - magnetic moment (Bohr magnetons per cell) = 0.00
# - calculated formation energy (meV per atom) = 69
# - density of states at the Fermi level (states/eV/cell) = 99.9

***

2.
# La8Y3Ho2 | Alexandria via LeMat-Bulk | GGA-PBE | optimized geometry
data_La8Y3Ho2
_cell_length_a 13.6507
_cell_length_b 11.8468
_cell_length_c 6.1742
_cell_angle_alpha 90.00
_cell_angle_beta 112.79
_cell_angle_gamma 90.00
_symmetry_space_group_name_H-M 'C 1 2/m 1'
_symmetry_Int_Tables_number 12
loop_
_symmetry_equiv_pos_as_xyz
'x,y,z'
'-x,-y,-z'
'-x,y,-z'
'x,-y,z'
'x+1/2,y+1/2,z'
'-x+1/2,-y+1/2,-z'
'-x+1/2,y+1/2,-z'
'x+1/2,-y+1/2,z'
loop_
_atom_site_label
_atom_site_type_symbol
_atom_site_fract_x
_atom_site_fract_y
_atom_site_fract_z
La1 La 0.0857 0.0000 0.2355
La2 La 0.1397 0.5000 0.6158
La3 La 0.1627 0.2611 0.1496
Y1 Y 0.0000 0.2277 0.5000
Y2 Y 0.0000 0.5000 0.0000
Ho1 Ho 0.1858 0.0000 0.8184
# - VASP energy (eV per atom) = -5.089
# - ΔE to the lowest computed polymorph (eV per formula unit) = 0.000
# - magnetic moment (Bohr magnetons per cell) = 0.00
# - calculated formation energy (meV per atom) = 139
# - density of states at the Fermi level (states/eV/cell) = 43.6

***

3.
# La4Y3Ho4 | Alexandria via LeMat-Bulk | GGA-PBE | optimized geometry
data_La4Y3Ho4
_cell_length_a 3.6434
_cell_length_b 9.5239
_cell_length_c 21.9548
_cell_angle_alpha 90.00
_cell_angle_beta 90.00
_cell_angle_gamma 90.00
_symmetry_space_group_name_H-M 'I m m m'
_symmetry_Int_Tables_number 71
_symmetry_space_group_name_Hall '-I 2 2'
loop_
_atom_site_label
_atom_site_type_symbol
_atom_site_fract_x
_atom_site_fract_y
_atom_site_fract_z
La1 La 0.0000 0.1695 0.1458
Y1 Y 0.0000 0.0000 0.3955
Y2 Y 0.0000 0.5000 0.5000
Ho1 Ho 0.0000 0.3150 0.0000
Ho2 Ho 0.0000 0.5000 0.2349
# - VASP energy (eV per atom) = -5.097
# - ΔE to the lowest computed polymorph (eV per formula unit) = 0.000
# - magnetic moment (Bohr magnetons per cell) = 0.00
# - calculated formation energy (meV per atom) = 123
# - density of states at the Fermi level (states/eV/cell) = 36.4